# 1
A geometry-optimized NdAg2Pd structure, computed with GGA-PBE.

It has space group P4/mmm (No. 123), with a = 4.113 Å, b = 4.113 Å, c = 5.005 Å, α = 90.00°, β = 90.00° and γ = 90.00°. Symmetry generates all atoms from Nd at (0.000, 0.000, 0.000), Ag at (0.000, 0.500, 0.500) and Pd at (0.500, 0.500, 0.000).

The value obtained for the size of the total moment is 0.00 μB per formula unit. As for the excess energy over the best structure of this formula in the dataset: 0.130 eV/atom. Its energy of formation from the pure elements is -0.276 eV/atom.



# 2
A geometry-optimized TmPd8Pt2 structure, computed with GGA-PBE.

It has space group P-1 (No. 2), with a = 4.952 Å, b = 5.399 Å, c = 7.233 Å, α = 87.38°, β = 75.02° and γ = 82.37°. Symmetry generates all atoms from Tm at (0.000, 0.000, 0.000), Pd at (0.111, 0.821, 0.616), Pd at (0.257, 0.409, 0.017), Pd at (0.419, 0.452, 0.336), Pd at (0.429, 0.959, 0.244) and Pt at (0.097, 0.320, 0.682).

The value obtained for the size of the total moment is 0.00 μB per formula unit. As for the excess energy over the best structure of this formula in the dataset: 0.000 eV/atom. Its energy of formation from the pure elements is -0.222 eV/atom.



# 3
A geometry-optimized CsRb2LaBr6 structure, computed with GGA-PBE.

It has space group P2_1/c (No. 14), with a = 8.376 Å, b = 8.980 Å, c = 14.363 Å, α = 90.00°, β = 123.79° and γ = 90.00°. Symmetry generates all atoms from Cs at (0.000, 0.000, 0.000), Rb at (0.208, 0.076, 0.739), La at (0.500, 0.000, 0.500), Br at (0.157, 0.173, 0.439), Br at (0.253, 0.730, 0.411) and Br at (0.424, 0.073, 0.278).

As for the raw formation energy: -1.884 eV/atom. The value obtained for the size of the total moment is 0.00 μB per formula unit. As for the excess energy over the best structure of this formula in the dataset: 0.000 eV/atom.



# 4
A geometry-optimized HfMnI6 structure, computed with GGA-PBE.

It has space group C2/m (No. 12), with a = 7.136 Å, b = 14.282 Å, c = 7.135 Å, α = 90.00°, β = 110.21° and γ = 90.00°. Symmetry generates all atoms from Hf at (0.000, 0.000, 0.000), Mn at (0.000, 0.500, 0.500), I at (0.240, 0.000, 0.759) and I at (0.249, 0.359, 0.749).

As for the raw formation energy: -0.659 eV/atom. The value obtained for the size of the total moment is 5.00 μB per formula unit.



# 5
A geometry-optimized TbHoHgPd structure, computed with GGA-PBE.

It has space group F-43m (No. 216), with a = 7.230 Å, b = 7.230 Å, c = 7.230 Å, α = 90.00°, β = 90.00° and γ = 90.00°. Symmetry generates all atoms from Tb at (0.000, 0.000, 0.000), Ho at (0.000, 0.000, 0.500), Hg at (0.250, 0.250, 0.750) and Pd at (0.250, 0.250, 0.250).

The value obtained for the size of the total moment is 0.00 μB per formula unit. As for the excess energy over the best structure of this formula in the dataset: 0.039 eV/atom. Its energy of formation from the pure elements is -0.648 eV/atom.



# 6
A geometry-optimized RbTlInAu2 structure, computed with GGA-PBE.

It has space group I-4m2 (No. 119), with a = 4.920 Å, b = 4.920 Å, c = 12.020 Å, α = 90.00°, β = 90.00° and γ = 90.00°. Symmetry generates all atoms from Rb at (0.000, 0.000, 0.000), Tl at (0.000, 0.500, 0.250), In at (0.000, 0.500, 0.750) and Au at (0.000, 0.000, 0.385).

The value obtained for the size of the total moment is 0.00 μB per formula unit. Its energy of formation from the pure elements is -0.204 eV/atom.



# 7
A geometry-optimized ZnCuIr2 structure, computed with GGA-PBE.

It has space group Pmmm (No. 47), with a = 2.734 Å, b = 3.706 Å, c = 5.473 Å, α = 90.00°, β = 90.00° and γ = 90.00°. Symmetry generates all atoms from Zn at (0.000, 0.000, 0.000), Cu at (0.000, 0.000, 0.500) and Ir at (0.500, 0.500, 0.253).

The value obtained for the size of the total moment is 0.00 μB per formula unit. Its energy of formation from the pure elements is 0.123 eV/atom.



# 8
A geometry-optimized MnGeCN structure, computed with GGA-PBE.

It has space group Cm (No. 8), with a = 6.882 Å, b = 2.765 Å, c = 5.095 Å, α = 90.00°, β = 110.65° and γ = 90.00°. Symmetry generates all atoms from Mn at (0.000, 0.000, 0.000), Ge at (0.139, 0.500, 0.704), C at (0.320, 0.000, 0.109) and N at (0.014, 0.500, 0.286).

As for the raw formation energy: 0.369 eV/atom. The value obtained for the size of the total moment is 0.00 μB per formula unit. As for the excess energy over the best structure of this formula in the dataset: 0.087 eV/atom.



# 9
A geometry-optimized SrTa2Te structure, computed with GGA-PBE.

It has space group R-3m (No. 166, hexagonal axes), with a = 3.3286 Å, b = 3.3286 Å, c = 29.8302 Å, α = 90.00°, β = 90.00° and γ = 120.00°. Symmetry generates all atoms from Sr at (0.0000, 0.0000, 0.0000), Ta at (0.0000, 0.0000, 0.2376) and Te at (0.0000, 0.0000, 0.5000).

As for the raw formation energy: 0.736 eV/atom. The value obtained for the size of the total moment is 0.00 μB per formula unit. As for the excess energy over the best structure of this formula in the dataset: 0.609 eV/atom.



# 10
A geometry-optimized Mg5Sc structure, computed with GGA-PBE.

It has space group F-43m (No. 216), with a = 8.264 Å, b = 8.264 Å, c = 8.264 Å, α = 90.00°, β = 90.00° and γ = 90.00°. Symmetry generates all atoms from Mg at (0.000, 0.000, 0.000), Mg at (0.124, 0.124, 0.624) and Sc at (0.250, 0.250, 0.250).

The value obtained for the size of the total moment is 0.00 μB per formula unit. Its energy of formation from the pure elements is 0.060 eV/atom.



# 11
A geometry-optimized ReAg2As structure, computed with GGA-PBE.

It has space group Immm (No. 71), with a = 2.991 Å, b = 4.420 Å, c = 10.049 Å, α = 90.00°, β = 90.00° and γ = 90.00°. Symmetry generates all atoms from Re at (0.000, 0.000, 0.000), Ag at (0.000, 0.500, 0.238) and As at (0.000, 0.000, 0.500).

The value obtained for the size of the total moment is 0.00 μB per formula unit. Its energy of formation from the pure elements is 0.565 eV/atom.



# 12
A geometry-optimized KNpUO6 structure, computed with GGA-PBE.

It has space group Imma (No. 74), with a = 7.846 Å, b = 7.949 Å, c = 11.198 Å, α = 90.00°, β = 90.00° and γ = 90.00°. Symmetry generates all atoms from K at (0.000, 0.250, 0.082), Np at (0.250, 0.250, 0.750), U at (0.000, 0.000, 0.500), O at (0.000, 0.250, 0.436), O at (0.000, 0.250, 0.818) and O at (0.193, 0.060, 0.622).

As for the raw formation energy: -2.850 eV/atom. The value obtained for the size of the total moment is 2.01 μB per formula unit.